[1]
Compound: MnI3F
Source: Alexandria via LeMat-Bulk
Functional: GGA+U
Structure: relaxed

POSCAR file:
```
MnI3F
1.0
5.476 0.000 0.000
0.000 5.476 0.000
0.000 0.000 5.476
Mn I F
1 3 1
direct
0.000 0.000 0.000
0.000 0.000 0.500
0.000 0.500 0.000
0.500 0.000 0.000
0.500 0.500 0.500
```

Values from the calculation:
Polymorph energy (0 for the lowest one): 0 meV per atom
DOS(E_F): 1.70 states/eV/atom
Space group: Pm-3m
Magnetic moment: 3.43 μB/f.u.
V: 32.8 A^3/atom


[2]
Compound: MnI2F
Source: Alexandria via LeMat-Bulk
Functional: GGA+U
Structure: relaxed

POSCAR file:
```
MnI2F
1.0
7.125 0.000 0.000
0.000 7.125 0.000
0.000 0.000 10.035
Mn I F
4 8 4
direct
0.000 0.000 0.000
0.000 0.500 0.250
0.500 0.000 0.750
0.500 0.500 0.500
0.237 0.250 0.125
0.250 0.737 0.375
0.250 0.763 0.875
0.263 0.250 0.625
0.737 0.750 0.625
0.750 0.237 0.875
0.750 0.263 0.375
0.763 0.750 0.125
0.000 0.000 0.500
0.000 0.500 0.750
0.500 0.000 0.250
0.500 0.500 0.000
```

Values from the calculation:
Polymorph energy (0 for the lowest one): 535 meV per atom
DOS(E_F): 0.58 states/eV/atom
Space group: I-42d
Magnetic moment: 4.00 μB/f.u.
V: 31.8 A^3/atom


[3]
Compound: MnIF2
Source: Alexandria via LeMat-Bulk
Functional: GGA+U
Structure: relaxed

POSCAR file:
```
MnIF2
1.0
6.504 0.000 0.000
0.000 6.504 0.000
0.000 0.000 9.404
Mn I F
4 4 8
direct
0.000 0.250 0.375
0.000 0.750 0.625
0.500 0.250 0.125
0.500 0.750 0.875
0.000 0.250 0.875
0.000 0.750 0.125
0.500 0.250 0.625
0.500 0.750 0.375
0.000 0.000 0.500
0.000 0.500 0.500
0.250 0.250 0.250
0.250 0.750 0.750
0.500 0.000 0.000
0.500 0.500 0.000
0.750 0.250 0.250
0.750 0.750 0.750
```

Values from the calculation:
Polymorph energy (0 for the lowest one): 180 meV per atom
DOS(E_F): 0.08 states/eV/atom
Space group: I4_1/amd
Magnetic moment: 6.00 μB/f.u.
V: 24.9 A^3/atom


[4]
Compound: MnIF
Source: Alexandria via LeMat-Bulk
Functional: GGA+U
Structure: relaxed

POSCAR file:
```
MnIF
1.0
7.446 0.000 0.000
0.000 7.279 0.000
-2.016 0.000 6.068
Mn I F
4 4 4
direct
0.020 0.132 0.231
0.020 0.368 0.731
0.980 0.632 0.269
0.980 0.868 0.769
0.282 0.077 0.673
0.282 0.423 0.173
0.718 0.577 0.827
0.718 0.923 0.327
0.087 0.638 0.626
0.087 0.862 0.126
0.913 0.138 0.874
0.913 0.362 0.374
```

Values from the calculation:
Polymorph energy (0 for the lowest one): 0 meV per atom
DOS(E_F): 0.00 states/eV/atom
Space group: P2_1/c
Magnetic moment: 5.00 μB/f.u.
V: 27.4 A^3/atom


[5]
Compound: MnIF2
Source: Alexandria via LeMat-Bulk
Functional: GGA+U
Structure: relaxed

POSCAR file:
```
MnIF2
1.0
3.117 0.000 0.000
0.000 14.439 0.000
0.000 0.000 8.151
Mn I F
4 4 8
direct
0.000 0.168 0.250
0.000 0.832 0.750
0.500 0.332 0.750
0.500 0.668 0.250
0.000 0.040 0.750
0.000 0.960 0.250
0.500 0.460 0.250
0.500 0.540 0.750
0.000 0.323 0.594
0.000 0.323 0.906
0.000 0.677 0.094
0.000 0.677 0.406
0.500 0.177 0.094
0.500 0.177 0.406
0.500 0.823 0.594
0.500 0.823 0.906
```

Values from the calculation:
Polymorph energy (0 for the lowest one): 100 meV per atom
DOS(E_F): 0.40 states/eV/atom
Space group: Cmcm
Magnetic moment: 4.76 μB/f.u.
V: 22.9 A^3/atom


[6]
Compound: MnIF3
Source: Alexandria via LeMat-Bulk
Functional: GGA+U
Structure: relaxed

POSCAR file:
```
MnIF3
1.0
4.809 0.000 0.000
0.000 4.809 0.000
0.000 0.000 4.809
Mn I F
1 1 3
direct
0.000 0.000 0.000
0.500 0.500 0.500
0.000 0.500 0.500
0.500 0.000 0.500
0.500 0.500 0.000
```

Values from the calculation:
Polymorph energy (0 for the lowest one): 1228 meV per atom
DOS(E_F): 0.33 states/eV/atom
Space group: Pm-3m
Magnetic moment: 5.89 μB/f.u.
V: 22.2 A^3/atom


[7]
Compound: MnI2F
Source: Alexandria via LeMat-Bulk
Functional: GGA+U
Structure: relaxed

POSCAR file:
```
MnI2F
1.0
7.154 0.000 0.000
0.000 7.154 0.000
0.000 0.000 7.154
Mn I F
4 8 4
direct
0.000 0.000 0.000
0.000 0.500 0.500
0.500 0.000 0.500
0.500 0.500 0.000
0.250 0.250 0.250
0.250 0.250 0.750
0.250 0.750 0.250
0.250 0.750 0.750
0.750 0.250 0.250
0.750 0.250 0.750
0.750 0.750 0.250
0.750 0.750 0.750
0.000 0.000 0.500
0.000 0.500 0.000
0.500 0.000 0.000
0.500 0.500 0.500
```

Values from the calculation:
Polymorph energy (0 for the lowest one): 595 meV per atom
DOS(E_F): 0.77 states/eV/atom
Space group: Fm-3m
Magnetic moment: 4.12 μB/f.u.
V: 22.9 A^3/atom


[8]
Compound: MnI3F
Source: Alexandria via LeMat-Bulk
Functional: GGA+U
Structure: relaxed

POSCAR file:
```
MnI3F
1.0
5.347 0.000 0.000
0.000 5.347 0.000
0.000 0.000 5.347
Mn I F
1 3 1
direct
0.000 0.000 0.000
0.000 0.500 0.500
0.500 0.000 0.500
0.500 0.500 0.000
0.500 0.500 0.500
```

Values from the calculation:
Polymorph energy (0 for the lowest one): 315 meV per atom
DOS(E_F): 1.10 states/eV/atom
Space group: Pm-3m
Magnetic moment: 5.00 μB/f.u.
V: 30.6 A^3/atom


[9]
Compound: MnIF2
Source: Alexandria via LeMat-Bulk
Functional: GGA+U
Structure: relaxed

POSCAR file:
```
MnIF2
1.0
6.481 0.000 0.000
0.000 6.481 0.000
0.000 0.000 6.481
Mn I F
4 4 8
direct
0.000 0.000 0.000
0.000 0.500 0.500
0.500 0.000 0.500
0.500 0.500 0.000
0.000 0.000 0.500
0.000 0.500 0.000
0.500 0.000 0.000
0.500 0.500 0.500
0.250 0.250 0.250
0.250 0.250 0.750
0.250 0.750 0.250
0.250 0.750 0.750
0.750 0.250 0.250
0.750 0.250 0.750
0.750 0.750 0.250
0.750 0.750 0.750
```

Values from the calculation:
Polymorph energy (0 for the lowest one): 979 meV per atom
DOS(E_F): 0.62 states/eV/atom
Space group: Fm-3m
Magnetic moment: 4.00 μB/f.u.
V: 17.0 A^3/atom


[10]
Compound: MnIF
Source: Alexandria via LeMat-Bulk
Functional: GGA+U
Structure: relaxed

POSCAR file:
```
MnIF
1.0
3.811 0.000 0.000
-1.906 3.300 0.000
0.000 0.000 5.701
Mn I F
1 1 1
direct
0.000 0.000 0.000
0.667 0.333 0.328
0.333 0.667 0.874
```

Values from the calculation:
Polymorph energy (0 for the lowest one): 197 meV per atom
Space group: P3m1
Magnetic moment: 5.00 μB/f.u.
V: 23.9 A^3/atom


[11]
Compound: Mn2I2F
Source: Alexandria via LeMat-Bulk
Functional: GGA+U
Structure: relaxed

POSCAR file:
```
Mn2I2F
1.0
6.535 -3.006 0.000
6.535 3.006 0.000
-4.537 0.000 7.063
Mn I F
4 4 2
direct
0.036 0.036 0.332
0.302 0.302 0.889
0.698 0.698 0.111
0.964 0.964 0.668
0.190 0.190 0.112
0.442 0.442 0.709
0.558 0.558 0.291
0.810 0.810 0.888
0.120 0.120 0.638
0.880 0.880 0.362
```

Values from the calculation:
DOS(E_F): 0.21 states/eV/atom
Space group: C2/m
Magnetic moment: 10.31 μB/f.u.
V: 27.7 A^3/atom
Electronic total energy: -48.2 eV/cell


[12]
Compound: MnIF3
Source: Alexandria via LeMat-Bulk
Functional: GGA+U
Structure: relaxed

POSCAR file:
```
MnIF3
1.0
5.281 0.000 0.000
-0.160 5.509 0.000
-1.461 -1.703 7.259
Mn I F
2 2 6
direct
0.000 0.000 0.000
0.487 0.482 0.952
0.008 0.968 0.593
0.644 0.582 0.447
0.228 0.704 0.991
0.309 0.303 0.692
0.317 0.243 0.049
0.687 0.748 0.905
0.777 0.290 0.956
0.987 0.037 0.251
```

Values from the calculation:
Polymorph energy (0 for the lowest one): 0 meV per atom
DOS(E_F): 0.31 states/eV/atom
Space group: P1
Magnetic moment: 4.03 μB/f.u.
V: 21.1 A^3/atom


[13]
Compound: MnIF
Source: Alexandria via LeMat-Bulk
Functional: GGA+U
Structure: relaxed

POSCAR file:
```
MnIF
1.0
3.813 0.000 0.000
0.000 6.595 0.000
0.000 0.000 11.437
Mn I F
4 4 4
direct
0.000 0.167 0.000
0.000 0.833 0.500
0.500 0.333 0.500
0.500 0.667 0.000
0.000 0.499 0.663
0.000 0.501 0.163
0.500 0.001 0.163
0.500 0.999 0.663
0.000 0.166 0.437
0.000 0.834 0.937
0.500 0.334 0.937
0.500 0.666 0.437
```

Values from the calculation:
Polymorph energy (0 for the lowest one): 196 meV per atom
Space group: Cmc2_1
Magnetic moment: 5.00 μB/f.u.
V: 24.0 A^3/atom


[14]
Compound: Mn3I5F
Source: Alexandria via LeMat-Bulk
Functional: GGA+U
Structure: relaxed

POSCAR file:
```
Mn3I5F
1.0
7.121 -5.753 0.000
7.121 5.753 0.000
-4.118 0.000 8.161
Mn I F
6 10 2
direct
0.000 0.000 0.000
0.000 0.000 0.500
0.201 0.201 0.408
0.348 0.348 0.829
0.652 0.652 0.171
0.799 0.799 0.592
0.003 0.338 0.634
0.212 0.212 0.101
0.319 0.681 0.000
0.338 0.003 0.634
0.412 0.412 0.586
0.588 0.588 0.414
0.662 0.997 0.366
0.681 0.319 0.000
0.788 0.788 0.899
0.997 0.662 0.366
0.038 0.038 0.266
0.962 0.962 0.734
```

Values from the calculation:
DOS(E_F): 0.00 states/eV/atom
Space group: C2/m
Magnetic moment: 14.99 μB/f.u.
V: 37.1 A^3/atom
Electronic total energy: -79.5 eV/cell


[15]
Compound: Mn2I3F
Source: Alexandria via LeMat-Bulk
Functional: GGA+U
Structure: relaxed

POSCAR file:
```
Mn2I3F
1.0
9.606 -2.021 0.000
9.606 2.021 0.000
-6.063 0.000 11.041
Mn I F
4 6 2
direct
0.214 0.214 0.100
0.283 0.283 0.659
0.717 0.717 0.341
0.786 0.786 0.900
0.101 0.101 0.191
0.337 0.337 0.476
0.362 0.362 0.098
0.638 0.638 0.902
0.663 0.663 0.524
0.899 0.899 0.809
0.254 0.254 0.801
0.746 0.746 0.199
```

Values from the calculation:
DOS(E_F): 0.00 states/eV/atom
Space group: C2/m
Magnetic moment: 10.00 μB/f.u.
V: 35.7 A^3/atom
Electronic total energy: -56.4 eV/cell


[16]
Compound: MnIF
Source: Alexandria via LeMat-Bulk
Functional: GGA+U
Structure: relaxed

POSCAR file:
```
MnIF
1.0
6.104 0.000 0.000
0.000 3.812 0.000
-1.055 0.000 7.393
Mn I F
2 2 2
direct
0.000 0.000 0.000
0.500 0.500 0.000
0.207 0.500 0.267
0.793 0.500 0.733
0.308 0.000 0.901
0.692 0.000 0.099
```

Values from the calculation:
Polymorph energy (0 for the lowest one): 55 meV per atom
DOS(E_F): 0.00 states/eV/atom
Space group: P2/m
Magnetic moment: 5.00 μB/f.u.
V: 28.7 A^3/atom


[17]
Compound: MnI2NF
Source: Alexandria via LeMat-Bulk
Functional: GGA+U
Structure: relaxed

POSCAR file:
```
MnI2NF
1.0
5.638 0.000 0.000
0.000 5.638 0.000
0.000 0.000 3.665
Mn I N F
1 2 1 1
direct
0.000 0.000 0.000
0.000 0.500 0.000
0.500 0.000 0.000
0.000 0.000 0.500
0.500 0.500 0.500
```

Values from the calculation:
Polymorph energy (0 for the lowest one): 0 meV per atom
DOS(E_F): 0.95 states/eV/atom
Space group: P4/mmm
Magnetic moment: 1.18 μB/f.u.
V: 23.3 A^3/atom


[18]
Compound: MnIN2F
Source: Alexandria via LeMat-Bulk
Functional: GGA+U
Structure: relaxed

POSCAR file:
```
MnIN2F
1.0
3.935 0.000 0.000
0.000 3.935 0.000
0.000 0.000 3.923
Mn I N F
1 1 2 1
direct
0.000 0.000 0.000
0.500 0.500 0.500
0.000 0.500 0.000
0.500 0.000 0.000
0.000 0.000 0.500
```

Values from the calculation:
Polymorph energy (0 for the lowest one): 0 meV per atom
DOS(E_F): 0.62 states/eV/atom
Space group: P4/mmm
Magnetic moment: 0.31 μB/f.u.
V: 12.2 A^3/atom


[19]
Compound: MnI2NF
Source: Alexandria via LeMat-Bulk
Functional: GGA+U
Structure: relaxed

POSCAR file:
```
MnI2NF
1.0
5.637 0.000 0.000
0.000 5.637 0.000
0.000 0.000 3.839
Mn I N F
1 2 1 1
direct
0.000 0.000 0.000
0.000 0.500 0.500
0.500 0.000 0.500
0.500 0.500 0.000
0.500 0.500 0.500
```

Values from the calculation:
Polymorph energy (0 for the lowest one): 625 meV per atom
DOS(E_F): 0.76 states/eV/atom
Space group: P4/mmm
Magnetic moment: 3.05 μB/f.u.
V: 24.4 A^3/atom


[20]
Compound: MnIN2F
Source: Alexandria via LeMat-Bulk
Functional: GGA+U
Structure: relaxed

POSCAR file:
```
MnIN2F
1.0
3.601 0.000 0.000
0.000 3.601 0.000
0.000 0.000 5.536
Mn I N F
1 1 2 1
direct
0.000 0.000 0.000
0.000 0.000 0.500
0.000 0.500 0.000
0.500 0.000 0.000
0.500 0.500 0.500
```

Values from the calculation:
Polymorph energy (0 for the lowest one): 118 meV per atom
DOS(E_F): 1.09 states/eV/atom
Space group: P4/mmm
Magnetic moment: 0.00 μB/f.u.
V: 14.4 A^3/atom


[21]
Compound: MnIN2F
Source: Alexandria via LeMat-Bulk
Functional: GGA+U
Structure: relaxed

POSCAR file:
```
MnIN2F
1.0
4.154 0.000 0.000
0.000 4.154 0.000
0.000 0.000 4.427
Mn I N F
1 1 2 1
direct
0.000 0.000 0.000
0.500 0.500 0.500
0.000 0.500 0.500
0.500 0.000 0.500
0.500 0.500 0.000
```

Values from the calculation:
Polymorph energy (0 for the lowest one): 120 meV per atom
DOS(E_F): 0.55 states/eV/atom
Space group: P4/mmm
Magnetic moment: 5.05 μB/f.u.
V: 15.3 A^3/atom


[22]
Compound: MnIN2F
Source: Alexandria via LeMat-Bulk
Functional: GGA+U
Structure: relaxed

POSCAR file:
```
MnIN2F
1.0
4.195 0.000 0.000
0.000 4.195 0.000
0.000 0.000 4.637
Mn I N F
1 1 2 1
direct
0.000 0.000 0.000
0.500 0.500 0.000
0.000 0.500 0.500
0.500 0.000 0.500
0.500 0.500 0.500
```

Values from the calculation:
Polymorph energy (0 for the lowest one): 927 meV per atom
DOS(E_F): 0.53 states/eV/atom
Space group: P4/mmm
Magnetic moment: 2.12 μB/f.u.
V: 16.3 A^3/atom


[23]
Compound: NaMnIF2
Source: Alexandria via LeMat-Bulk
Functional: GGA+U
Structure: relaxed

POSCAR file:
```
NaMnIF2
1.0
4.251 0.000 0.000
0.000 4.251 0.000
0.000 0.000 6.078
Na Mn I F
1 1 1 2
direct
0.000 0.000 0.000
0.500 0.500 0.500
0.500 0.500 0.000
0.000 0.500 0.500
0.500 0.000 0.500
```

Values from the calculation:
DOS(E_F): 0.00 states/eV/atom
Space group: P4/mmm
Magnetic moment: 5.00 μB/f.u.
V: 22.0 A^3/atom
Electronic total energy: -23.8 eV/cell


[24]
Compound: Mn2IOF
Source: Alexandria via LeMat-Bulk
Functional: GGA+U
Structure: relaxed

POSCAR file:
```
Mn2IOF
1.0
6.057 -1.925 0.000
6.057 1.925 0.000
-1.244 0.000 7.971
Mn I O F
4 2 2 2
direct
0.085 0.085 0.274
0.379 0.379 0.054
0.621 0.621 0.946
0.915 0.915 0.726
0.153 0.153 0.635
0.847 0.847 0.365
0.454 0.454 0.824
0.546 0.546 0.176
0.186 0.186 0.053
0.814 0.814 0.947
```

Values from the calculation:
Polymorph energy (0 for the lowest one): 0 meV per atom
Space group: C2/m
Magnetic moment: 10.00 μB/f.u.
V: 18.6 A^3/atom


[25]
Compound: Mn2IOF
Source: Alexandria via LeMat-Bulk
Functional: GGA+U
Structure: relaxed

POSCAR file:
```
Mn2IOF
1.0
4.342 0.000 0.000
0.000 4.342 0.000
0.000 0.000 5.595
Mn I O F
2 1 1 1
direct
0.000 0.500 0.000
0.500 0.000 0.000
0.000 0.000 0.500
0.500 0.500 0.500
0.000 0.000 0.000
```

Values from the calculation:
Polymorph energy (0 for the lowest one): 1649 meV per atom
DOS(E_F): 0.61 states/eV/atom
Space group: P4/mmm
Magnetic moment: 11.19 μB/f.u.
V: 21.1 A^3/atom


[26]
Compound: MnPdIF2
Source: Alexandria via LeMat-Bulk
Functional: GGA+U
Structure: relaxed

POSCAR file:
```
MnPdIF2
1.0
4.197 0.000 0.000
0.000 4.197 0.000
0.000 0.000 5.529
Mn Pd I F
1 1 1 2
direct
0.000 0.000 0.000
0.000 0.000 0.500
0.500 0.500 0.000
0.000 0.500 0.500
0.500 0.000 0.500
```

Values from the calculation:
DOS(E_F): 0.29 states/eV/atom
Space group: P4/mmm
Magnetic moment: 5.02 μB/f.u.
V: 19.5 A^3/atom
Electronic total energy: -22.1 eV/cell